{
  "formula": "LaYP2Cl",
  "functional": "PBE-GGA",
  "state": "optimized geometry",
  "lattice_angstrom": [[5.4807, 0.0000, 0.0000], [0.0000, 5.4807, 0.0000], [0.0000, 0.0000, 5.1993]],
  "species": ["La", "Y", "P", "P", "Cl"],
  "frac_coords": [[0.0000, 0.0000, 0.0000], [0.5000, 0.5000, 0.5000], [0.0000, 0.5000, 0.0000], [0.5000, 0.0000, 0.0000], [0.0000, 0.0000, 0.5000]],
  "formation_energy_uncorrected_ev_per_atom": -0.430,
  "m_tot_mub_per_atom": 0.00,
  "e_above_lowest_polymorph_ev_per_atom": 0.509,
  "spacegroup": "P4/mmm"
}